(1)
A plane-wave DFT calculation with PBE-GGA was carried out for a geometry-optimized MnCoTc3 structure.

Unit cell a=4.3362 b=4.3362 c=4.3362 alpha=90.00 beta=90.00 gamma=90.00
Atoms (fractional coordinates):
Mn 0.0000 0.0000 0.0000
Co 0.5000 0.5000 0.5000
Tc 0.0000 0.5000 0.0000
Tc 0.0000 0.0000 0.5000
Tc 0.5000 0.0000 0.0000

Output
Total moment (μB/atom): 0.000
ΔE_f (meV/atom): 1449
Crystal system: cubic

(2)
A plane-wave DFT calculation with PBE-GGA was carried out for a geometry-optimized MnCoTc structure.

Unit cell a=4.4785 b=4.4785 c=4.4785 alpha=146.26 beta=132.07 gamma=59.89
Last column: magnetic moment on the atom in μB.
Atoms (fractional coordinates):
Co 0.9977 0.9977 0.0000  0.81
Mn 0.3368 0.3368 0.0000  1.73
Tc 0.6655 0.6655 0.0000  -0.25

Output
Total moment (μB/atom): 0.772
ΔE_f (meV/atom): 87
Crystal system: orthorhombic

(3)
A plane-wave DFT calculation with PBE-GGA was carried out for a geometry-optimized Mn2CoTc structure.

Unit cell a=2.5868 b=2.5868 c=7.2611 alpha=90.00 beta=90.00 gamma=89.94
Last column: magnetic moment on the atom in μB.
Atoms (fractional coordinates):
Co 0.5000 0.5000 0.7581  -0.38
Mn 0.0000 0.0000 0.9971  -2.20
Mn 0.5000 0.5000 0.2347  2.04
Tc 0.0000 0.0000 0.5101  -0.06

Output
Total moment (μB/atom): 0.148
ΔE_f (meV/atom): 59
Crystal system: tetragonal

(4)
A plane-wave DFT calculation with PBE-GGA was carried out for a geometry-optimized Mn2CoTc structure.

Unit cell a=8.4468 b=8.4468 c=8.4468 alpha=17.49 beta=17.49 gamma=17.49
Last column: magnetic moment on the atom in μB.
Atoms (fractional coordinates):
Co 0.7465 0.7465 0.7465  0.88
Mn 0.9993 0.9993 0.9993  0.64
Mn 0.2546 0.2546 0.2546  -0.67
Tc 0.4996 0.4996 0.4996  -0.03

Output
Total moment (μB/atom): 0.202
ΔE_f (meV/atom): 164
Crystal system: trigonal